Entry from Alexandria via LeMat-Bulk: Cs3KAu after structural relaxation (PBE).

a b c (Å): 13.571 13.571 9.333
angles (deg): 90.00 90.00 142.90
Fractional coordinates of all 10 atoms:
Cs (0.000, 0.000, 0.000)
Cs (0.580, 0.907, 0.250)
Cs (0.907, 0.580, 0.750)
Cs (0.420, 0.093, 0.750)
Cs (0.000, 0.000, 0.500)
Cs (0.093, 0.420, 0.250)
K (0.834, 0.166, 0.750)
K (0.166, 0.834, 0.250)
Au (0.441, 0.559, 0.250)
Au (0.559, 0.441, 0.750)

N(E_F)	1.21	states/eV/atom
calculated formation energy	0.112	eV/atom
space group	Cmcm